VASP calculation (PBE) on a geometry-optimized MoIrOs2 structure.

magnetic moment = 0.00 μB per formula unit
calculated formation energy = -0.25 eV/f.u.
VASP energy = -0.38952 Ha/atom
space group = I-4m2 (119)
V = 14.69 Å³ per atom
excess energy over the best structure of this formula in the dataset = 39 meV per atom
Fermi-level density of states = 3.3 states/eV/cell

Cell lengths 4.7615, 4.7615, 4.7615 Å; angles 131.81, 131.81, 70.53 degrees
Sites, in units of the cell vectors:
Ir 0.5000 0.5000 0.0000
Mo 0.2500 0.7500 0.5000
Os 0.0001 0.0001 0.0000
Os 0.7499 0.2499 0.5000

***

VASP calculation (PBE) on a geometry-optimized YAl4Mo structure.

magnetic moment = 0.00 μB per formula unit
calculated formation energy = -1.45 eV/f.u.
VASP energy = -0.20647 Ha/atom
space group = F-43m (216)
V = 17.35 Å³ per atom
Fermi-level density of states = 2.5 states/eV/cell

Cell lengths 5.2804, 5.2804, 5.2804 Å; angles 60.00, 60.00, 60.00 degrees
Sites, in units of the cell vectors:
Y 0.0000 0.0000 0.0000
Al 0.8741 0.3753 0.3753
Al 0.3753 0.3753 0.8741
Al 0.3753 0.8741 0.3753
Al 0.3753 0.3753 0.3753
Mo 0.7500 0.7500 0.7500

***

VASP calculation (PBE) on a geometry-optimized SrCa2HgH structure.

magnetic moment = 0.00 μB per formula unit
VASP energy = -0.07970 Ha/atom
space group = P4/mmm (123)
V = 26.71 Å³ per atom
Fermi-level density of states = 3.6 states/eV/cell

Cell lengths 5.0166, 5.0166, 5.3061 Å; angles 90.00, 90.00, 90.00 degrees
Sites, in units of the cell vectors:
Sr 0.0000 0.0000 0.5000
Ca 0.0000 0.5000 0.0000
Ca 0.5000 0.0000 0.0000
Hg 0.5000 0.5000 0.5000
H 0.0000 0.0000 0.0000

***

VASP calculation (PBE) on a geometry-optimized ZnCr4Cu structure.

magnetic moment = 0.00 μB per formula unit
calculated formation energy = 2.52 eV/f.u.
VASP energy = -0.25325 Ha/atom
space group = F-43m (216)
V = 12.62 Å³ per atom
Fermi-level density of states = 7.2 states/eV/cell

Cell lengths 4.7481, 4.7481, 4.7481 Å; angles 60.00, 60.00, 60.00 degrees
Sites, in units of the cell vectors:
Zn 0.0000 0.0000 0.0000
Cr 0.3753 0.8741 0.3753
Cr 0.8741 0.3753 0.3753
Cr 0.3753 0.3753 0.8741
Cr 0.3753 0.3753 0.3753
Cu 0.7500 0.7500 0.7500

***

VASP calculation (PBE) on a geometry-optimized DySi3Tc3 structure.

magnetic moment = 0.00 μB per formula unit
E_form (uncorrected) = -465.7 meV per atom
VASP energy = -0.28995 Ha/atom
space group = P2_1/m (11)
V = 16.72 Å³ per atom
excess energy over the best structure of this formula in the dataset = 0 meV per atom
Fermi-level density of states = 9.7 states/eV/cell

Cell lengths 4.2436, 7.3634, 9.5662 Å; angles 128.45, 90.00, 90.00 degrees
Sites, in units of the cell vectors:
Dy 0.7500 0.2801 0.6180
Dy 0.2500 0.7199 0.3820
Si 0.7500 0.8057 0.2042
Si 0.7500 0.3965 0.0999
Si 0.7500 0.6287 0.5614
Si 0.2500 0.1943 0.7958
Si 0.2500 0.6035 0.9001
Si 0.2500 0.3713 0.4386
Tc 0.7500 0.8400 0.9498
Tc 0.7500 0.2597 0.2721
Tc 0.7500 0.0352 0.7905
Tc 0.2500 0.1600 0.0502
Tc 0.2500 0.7403 0.7279
Tc 0.2500 0.9648 0.2095

***

VASP calculation (PBE) on a geometry-optimized YSiPt structure.

magnetic moment = 0.00 μB per formula unit
E_form (uncorrected) = -1211.9 meV per atom
VASP energy = -0.26415 Ha/atom
space group = Imm2 (44)
V = 18.84 Å³ per atom
Fermi-level density of states = 6.1 states/eV/cell

Cell lengths 4.2971, 7.4551, 11.4282 Å; angles 109.04, 100.84, 90.00 degrees
Sites, in units of the cell vectors:
Y 0.0000 0.5397 0.0000
Y 0.6664 0.2097 0.3328
Y 0.3336 0.8769 0.6672
Y 0.5000 0.9477 0.0000
Y 0.8317 0.2825 0.6634
Y 0.1683 0.6191 0.3366
Si 0.9378 0.0926 0.8757
Si 0.0622 0.2170 0.1243
Si 0.7715 0.6068 0.5431
Si 0.2285 0.0637 0.4569
Si 0.5985 0.7540 0.1969
Si 0.4015 0.5571 0.8031
Pt 0.8962 0.7254 0.7923
Pt 0.1038 0.9330 0.2076
Pt 0.7348 0.8984 0.4697
Pt 0.2652 0.4287 0.5303
Pt 0.5718 0.3979 0.1436
Pt 0.4282 0.2543 0.8564